[1]
RbSnHg3O4 | PBE-GGA | relaxed

Space-group type ... P-43m
Electronic total energy ... -3.42 eV/atom
Volume ... 25.0 Å³ per atom

The structure in extended XYZ format:
```
9
Lattice="6.084 0.000 0.000 0.000 6.084 0.000 0.000 0.000 6.084" Properties=species:S:1:pos:R:3 pbc="T T T"
Rb 0.000 0.000 0.000
Sn 3.042 3.042 3.042
Hg 0.000 3.042 3.042
Hg 3.042 0.000 3.042
Hg 3.042 3.042 0.000
O 1.874 1.874 1.874
O 1.874 4.210 4.210
O 4.210 1.874 4.210
O 4.210 4.210 1.874
```

***

[2]
RbTmHgO3 | PBE-GGA | relaxed

Total moment ... 0.000 μB per atom
Space-group type ... Cmcm
Electronic total energy ... -5.33 eV/atom
Volume ... 18.7 Å³ per atom

The structure in extended XYZ format:
```
12
Lattice="1.768 -7.096 0.000 1.768 7.096 0.000 0.000 0.000 8.942" Properties=species:S:1:pos:R:3 pbc="T T T"
Rb 1.768 4.524 6.706
Rb 1.768 -4.524 2.235
Tm 1.768 0.000 0.000
Tm 1.768 0.000 4.471
Hg 1.768 5.588 2.235
Hg 1.768 -5.588 6.706
O 1.768 5.644 0.189
O 1.768 5.644 4.282
O 1.768 0.351 2.235
O 1.768 -0.351 6.706
O 1.768 -5.644 4.660
O 1.768 -5.644 8.753
```

***

[3]
RbYHgO3 | PBE-GGA | relaxed

Total moment ... 0.000 μB per atom
Space-group type ... Cmcm
Electronic total energy ... -5.62 eV/atom
Volume ... 19.2 Å³ per atom

The structure in extended XYZ format:
```
12
Lattice="1.798 -7.098 0.000 1.798 7.098 0.000 0.000 0.000 9.041" Properties=species:S:1:pos:R:3 pbc="T T T"
Rb 1.798 4.507 6.781
Rb 1.798 -4.507 2.260
Y 1.798 0.000 0.000
Y 1.798 0.000 4.520
Hg 1.798 5.596 2.260
Hg 1.798 -5.596 6.781
O 1.798 5.613 0.213
O 1.798 5.613 4.307
O 1.798 0.393 2.260
O 1.798 -0.393 6.781
O 1.798 -5.613 4.734
O 1.798 -5.613 8.828
```

***

[4]
Re2Hg5O10 | PBE-GGA | relaxed

Total moment ... 0.000 μB per atom
Space-group type ... P2_1/c
Electronic total energy ... -5.45 eV/atom
Volume ... 17.5 Å³ per atom

The structure in extended XYZ format:
```
34
Lattice="6.444 0.000 0.000 0.000 11.671 0.000 -1.162 0.000 7.891" Properties=species:S:1:pos:R:3 pbc="T T T"
Re 0.725 1.835 0.113
Re 0.144 4.001 4.058
Re 5.138 7.670 3.833
Re 4.557 9.836 7.778
Hg -0.581 0.000 3.945
Hg 0.000 5.836 0.000
Hg 2.232 8.398 1.336
Hg 1.651 9.109 5.281
Hg 2.405 1.008 5.494
Hg 2.986 4.828 1.549
Hg 2.295 6.843 6.342
Hg 2.876 10.664 2.397
Hg 3.631 2.562 2.610
Hg 3.050 3.273 6.555
O -0.695 0.901 6.544
O -0.114 4.935 2.598
O 0.222 7.892 3.007
O -0.358 9.615 6.952
O 0.756 2.410 3.625
O 0.176 3.426 7.571
O 1.922 6.439 0.458
O 1.341 11.068 4.403
O 1.921 1.046 1.133
O 1.340 4.790 5.079
O 3.941 6.882 2.812
O 3.360 10.625 6.757
O 3.941 0.603 3.487
O 3.360 5.233 7.433
O 5.106 8.245 0.320
O 4.525 9.262 4.265
O 5.640 2.056 0.939
O 5.059 3.779 4.884
O 5.396 6.736 5.293
O 5.977 10.771 1.347
```

***

[5]
ReHg3O6 | PBE-GGA | relaxed

Total moment ... 0.001 μB per atom
Space-group type ... P2_1/c
Electronic total energy ... -4.98 eV/atom
Volume ... 13.5 Å³ per atom

The structure in extended XYZ format:
```
20
Lattice="5.712 0.000 0.000 0.000 5.639 0.000 -5.533 0.000 8.398" Properties=species:S:1:pos:R:3 pbc="T T T"
Re 0.000 0.000 0.000
Re -2.767 2.819 4.199
Hg -2.741 0.243 6.347
Hg 0.025 2.576 2.148
Hg 0.089 0.000 4.199
Hg 2.856 2.819 0.000
Hg 0.153 3.063 6.249
Hg 2.920 5.395 2.050
O -1.931 1.228 3.589
O -4.698 1.591 7.788
O -1.167 3.791 3.741
O -3.933 4.667 7.939
O 0.674 0.366 1.778
O -2.092 2.453 5.977
O 2.271 3.186 2.421
O -0.496 5.273 6.620
O 4.112 0.972 0.458
O 1.345 1.848 4.657
O 4.877 4.048 0.610
O 2.110 4.411 4.809
```

***

[6]
ReHg2O4 | PBE-GGA | relaxed

Total moment ... 0.000 μB per atom
Space-group type ... C2/c
Electronic total energy ... -5.72 eV/atom
Volume ... 16.3 Å³ per atom

The structure in extended XYZ format:
```
14
Lattice="4.103 -6.058 0.000 4.103 6.058 0.000 -1.753 0.000 4.587" Properties=species:S:1:pos:R:3 pbc="T T T"
Re 2.788 4.986 3.440
Re 3.665 -4.986 1.147
Hg 1.739 1.440 4.377
Hg 3.837 1.440 2.504
Hg 2.616 -1.440 2.083
Hg 4.714 -1.440 0.210
O 1.440 3.877 3.650
O -0.024 0.588 2.915
O 0.853 -0.588 0.622
O 4.137 3.877 3.230
O 2.316 -3.877 1.357
O 5.600 0.588 3.965
O 6.477 -0.588 1.672
O 5.013 -3.877 0.937
```

***

[7]
ReHg2O4 | PBE-GGA | relaxed

Total moment ... 0.007 μB per atom
Space-group type ... Fddd
Electronic total energy ... -5.64 eV/atom
Volume ... 19.1 Å³ per atom

The structure in extended XYZ format:
```
14
Lattice="0.000 5.058 7.128 3.700 0.000 7.128 3.700 5.058 0.000" Properties=species:S:1:pos:R:3 pbc="T T T"
Re 0.925 1.264 1.782
Re 6.475 8.851 12.475
Hg 2.775 2.396 5.346
Hg 4.625 4.924 8.910
Hg 2.775 5.191 5.346
Hg 4.625 7.720 8.910
O 1.938 2.311 2.773
O 5.462 4.840 6.337
O 3.612 5.276 2.773
O 3.612 2.311 7.920
O 3.788 7.804 6.337
O 3.788 4.840 11.484
O 1.938 5.276 7.920
O 5.462 7.804 11.484
```

***

[8]
TlReHg3O4 | PBE-GGA | relaxed

Total moment ... 0.000 μB per atom
Space-group type ... P-43m
Electronic total energy ... -4.62 eV/atom
Volume ... 38.2 Å³ per atom

The structure in extended XYZ format:
```
9
Lattice="7.004 0.000 0.000 0.000 7.004 0.000 0.000 0.000 7.004" Properties=species:S:1:pos:R:3 pbc="T T T"
Tl 0.000 0.000 0.000
Re 3.502 3.502 3.502
Hg 0.000 3.502 3.502
Hg 3.502 0.000 3.502
Hg 3.502 3.502 0.000
O 2.483 2.483 2.483
O 2.483 4.521 4.521
O 4.521 2.483 4.521
O 4.521 4.521 2.483
```

***

[9]
Hg2SO | PBE-GGA | relaxed

Space-group type ... Cmc2_1
Electronic total energy ... -2.52 eV/atom
Volume ... 20.5 Å³ per atom

The structure in extended XYZ format:
```
8
Lattice="1.885 -7.029 0.000 1.885 7.029 0.000 0.000 0.000 6.198" Properties=species:S:1:pos:R:3 pbc="T T T"
Hg 1.885 6.122 3.099
Hg 1.885 2.380 3.209
Hg 1.885 -2.380 0.110
Hg 1.885 -6.122 0.000
S 1.885 2.591 0.622
S 1.885 -2.591 3.721
O 1.885 5.873 0.755
O 1.885 -5.873 3.854
```

***

[10]
Hg2SO | PBE-GGA | relaxed

Space-group type ... Pnma
Electronic total energy ... -2.52 eV/atom
Volume ... 20.7 Å³ per atom

The structure in extended XYZ format:
```
16
Lattice="6.116 0.000 0.000 0.000 3.797 0.000 0.000 0.000 14.241" Properties=species:S:1:pos:R:3 pbc="T T T"
Hg 1.158 0.949 2.561
Hg 1.169 2.848 5.816
Hg 1.889 0.949 12.936
Hg 1.900 2.848 9.681
Hg 4.217 0.949 4.559
Hg 4.227 2.848 1.305
Hg 4.947 0.949 8.425
Hg 4.958 2.848 11.680
S 1.403 0.949 8.003
S 1.655 2.848 0.882
S 4.461 0.949 13.358
S 4.713 2.848 6.238
O 1.229 2.848 11.779
O 1.829 0.949 4.659
O 4.287 2.848 9.582
O 4.888 0.949 2.462
```

***

[11]
HgSO4 | PBE-GGA | relaxed

Space-group type ... C2/c
Electronic total energy ... -5.03 eV/atom
Volume ... 13.5 Å³ per atom

The structure in extended XYZ format:
```
12
Lattice="4.168 -2.391 0.000 4.168 2.391 0.000 -2.683 0.000 8.134" Properties=species:S:1:pos:R:3 pbc="T T T"
Hg 2.084 1.195 0.000
Hg 0.743 -1.195 4.067
S 2.156 1.773 6.100
S 3.497 -1.773 2.033
O -0.786 0.285 6.244
O 0.556 -0.285 2.177
O 2.362 1.002 4.873
O 1.950 1.002 7.328
O 3.703 -1.002 0.806
O 3.291 -1.002 3.261
O 5.097 0.285 5.957
O 6.439 -0.285 1.890
```

***

[12]
Hg2SO | PBE-GGA | relaxed

Space-group type ... P6_3mc
Electronic total energy ... -2.50 eV/atom
Volume ... 20.0 Å³ per atom

The structure in extended XYZ format:
```
8
Lattice="3.859 0.000 0.000 -1.930 3.342 0.000 0.000 0.000 12.419" Properties=species:S:1:pos:R:3 pbc="T T T"
Hg 0.000 0.000 0.000
Hg 0.000 0.000 6.210
Hg 0.000 2.228 3.235
Hg 1.930 1.114 9.444
S 0.000 2.228 7.595
S 1.930 1.114 1.385
O 0.000 0.000 4.027
O 0.000 0.000 10.236
```

***

[13]
Hg2SO | PBE-GGA | relaxed

Space-group type ... Cmcm
Electronic total energy ... -2.30 eV/atom
Volume ... 18.3 Å³ per atom

The structure in extended XYZ format:
```
8
Lattice="1.796 -6.708 0.000 1.796 6.708 0.000 0.000 0.000 6.084" Properties=species:S:1:pos:R:3 pbc="T T T"
Hg 1.796 5.740 4.563
Hg 1.796 1.879 4.563
Hg 1.796 -1.879 1.521
Hg 1.796 -5.740 1.521
S 1.796 2.946 1.521
S 1.796 -2.946 4.563
O 1.796 0.000 0.000
O 1.796 0.000 3.042
```

***

[14]
Hg2SO | PBE-GGA | relaxed

Space-group type ... P2_1
Electronic total energy ... -2.57 eV/atom
Volume ... 28.2 Å³ per atom

The structure in extended XYZ format:
```
16
Lattice="6.608 0.000 0.000 0.000 6.542 0.000 -0.051 0.000 10.443" Properties=species:S:1:pos:R:3 pbc="T T T"
Hg 0.007 0.000 0.012
Hg 1.286 4.936 5.833
Hg 2.082 3.034 3.144
Hg 3.263 6.089 0.135
Hg 3.294 2.818 10.307
Hg 4.476 6.305 7.299
Hg 5.271 1.665 4.610
Hg 6.551 3.271 10.431
S 0.179 4.314 3.817
S 2.632 4.881 7.784
S 3.925 1.610 2.659
S 6.379 1.043 6.626
O 0.984 1.639 0.718
O 2.378 4.375 0.844
O 4.179 1.104 9.598
O 5.573 4.910 9.724
```

***

[15]
HgSbSO | PBE-GGA | relaxed

Space-group type ... P2_1/c
Electronic total energy ... -3.79 eV/atom
Volume ... 20.5 Å³ per atom

The structure in extended XYZ format:
```
16
Lattice="6.927 0.000 0.000 0.000 7.835 0.000 -0.244 0.000 6.054" Properties=species:S:1:pos:R:3 pbc="T T T"
Hg 0.204 1.923 2.998
Hg 0.082 1.994 6.025
Hg 6.601 5.841 0.030
Hg 6.479 5.912 3.057
Sb 2.893 4.974 4.508
Sb 3.015 6.779 1.481
Sb 3.669 1.056 4.574
Sb 3.791 2.862 1.547
S 1.578 4.425 1.664
S 1.456 7.328 4.692
S 5.228 0.507 1.363
S 5.106 3.411 4.390
O 2.742 1.753 2.896
O 2.620 2.164 5.923
O 4.063 5.671 0.131
O 3.941 6.082 3.158
```

***

[16]
HgSbSO | PBE-GGA | relaxed

Space-group type ... Pca2_1
Electronic total energy ... -3.69 eV/atom
Volume ... 22.3 Å³ per atom

The structure in extended XYZ format:
```
16
Lattice="5.700 0.000 0.000 0.000 11.071 0.000 0.000 0.000 5.661" Properties=species:S:1:pos:R:3 pbc="T T T"
Hg 0.726 0.543 0.000
Hg 2.124 0.543 2.831
Hg 3.576 10.529 0.000
Hg 4.974 10.529 2.831
Sb 0.075 7.349 0.736
Sb 2.775 7.349 3.567
Sb 2.925 3.723 0.736
Sb 5.625 3.723 3.567
S 0.242 7.231 3.833
S 2.608 7.231 1.002
S 3.092 3.840 3.833
S 5.458 3.840 1.002
O 0.142 1.768 3.688
O 2.708 1.768 0.857
O 2.992 9.303 3.688
O 5.558 9.303 0.857
```

***

[17]
HgSbSO | PBE-GGA | relaxed

Space-group type ... P4/nmm
Electronic total energy ... -3.71 eV/atom
Volume ... 18.8 Å³ per atom

The structure in extended XYZ format:
```
8
Lattice="3.893 0.000 0.000 0.000 3.893 0.000 0.000 0.000 9.934" Properties=species:S:1:pos:R:3 pbc="T T T"
Hg 0.973 2.920 0.000
Hg 2.920 0.973 0.000
Sb 0.973 0.973 3.759
Sb 2.920 2.920 6.175
S 0.973 0.973 7.546
S 2.920 2.920 2.389
O 0.973 2.920 4.967
O 2.920 0.973 4.967
```

***

[18]
HgSbSO | PBE-GGA | relaxed

Space-group type ... P2_1
Electronic total energy ... -3.93 eV/atom
Volume ... 21.8 Å³ per atom

The structure in extended XYZ format:
```
16
Lattice="5.631 0.000 0.000 0.000 5.454 0.000 -1.635 0.000 11.357" Properties=species:S:1:pos:R:3 pbc="T T T"
Hg 0.460 0.000 0.995
Hg 0.327 4.918 10.195
Hg 3.669 2.191 1.162
Hg 3.536 2.727 10.362
Sb -0.912 4.568 6.734
Sb 1.518 1.949 7.237
Sb 2.478 4.676 4.120
Sb 4.908 1.841 4.623
S -0.584 1.633 8.602
S 1.889 1.535 2.780
S 2.107 4.262 8.577
S 4.580 4.360 2.755
O 0.417 0.514 5.849
O 0.511 3.119 5.860
O 3.485 0.392 5.497
O 3.579 3.241 5.508
```

***

[19]
HgSbSO | PBE-GGA | relaxed

Space-group type ... Pmc2_1
Electronic total energy ... -3.83 eV/atom
Volume ... 25.0 Å³ per atom

The structure in extended XYZ format:
```
8
Lattice="5.427 0.000 0.000 0.000 6.972 0.000 0.000 0.000 5.275" Properties=species:S:1:pos:R:3 pbc="T T T"
Hg 0.000 1.685 0.000
Hg 0.000 5.287 2.638
Sb 2.714 2.229 2.847
Sb 2.714 4.743 0.209
S 0.000 1.771 2.628
S 0.000 5.201 5.265
O 2.714 2.912 0.971
O 2.714 4.060 3.608
```